Record 1
The following is a DFT calculation (PBE-GGA) of a relaxed YN2F crystal.

Computed properties:
The total energy comes out at -6.14 eV per atom. As for the raw formation energy: 10 kJ per mole of atoms. Its space group is Fm-3m (225).

Cell lengths 4.095, 4.095, 4.095 Å; angles 60.00, 60.00, 60.00 degrees
Element x y z (fractional)
Y1 0.000 0.000 0.000
N1 0.250 0.250 0.250
N2 0.750 0.750 0.750
F1 0.500 0.500 0.500

Record 2
The following is a DFT calculation (PBE-GGA) of a relaxed Ac2AlCd4Ga3 crystal.

Computed properties:
The total energy comes out at -2.83 eV per atom. Its space group is P-4m2 (115). As for the formation energy: -3.634 eV/f.u.

Cell lengths 4.621, 4.621, 11.421 Å; angles 90.00, 90.00, 90.00 degrees
Element x y z (fractional)
Ac1 0.000 0.500 0.248
Ac2 0.500 0.000 0.752
Al1 0.500 0.500 0.000
Cd1 0.000 0.000 0.500
Cd2 0.000 0.500 0.869
Cd3 0.500 0.000 0.131
Cd4 0.500 0.500 0.500
Ga1 0.000 0.000 0.000
Ga2 0.000 0.500 0.638
Ga3 0.500 0.000 0.362

Record 3
The following is a DFT calculation (PBE-GGA) of a relaxed NiSbSe2 crystal.

Computed properties:
The total energy comes out at -4.33 eV per atom. As for the raw formation energy: -11 kJ per mole of atoms. Its space group is Immm (71).

Cell lengths 6.327, 6.327, 6.327 Å; angles 148.06, 134.15, 56.96 degrees
Element x y z (fractional)
Ni1 0.000 0.000 0.000
Sb1 0.500 0.500 0.000
Se1 0.145 0.645 0.500
Se2 0.855 0.355 0.500

Q: What is the total energy in the first record?
A: -6.14 eV per atom

Q: Number 3 is which compound?
A: NiSbSe2